(1)
# LiPb2Se (GGA-PBE, optimized geometry)
data_LiPb2Se
_cell_length_a 7.479
_cell_length_b 7.479
_cell_length_c 7.479
_cell_angle_alpha 90.00
_cell_angle_beta 90.00
_cell_angle_gamma 90.00
_space_group_name_H-M_alt 'F -4 3 m'
_space_group_IT_number 216
_space_group_name_Hall 'F -4 2 3'
loop_
_atom_site_label
_atom_site_type_symbol
_atom_site_fract_x
_atom_site_fract_y
_atom_site_fract_z
_atom_site_occupancy
Li1 Li 0.000 0.000 0.000 1
Pb1 Pb 0.000 0.000 0.500 1
Pb2 Pb 0.250 0.250 0.750 1
Se1 Se 0.250 0.250 0.250 1
# - Calculated total energy: -3.3428 eV per atom


(2)
# DyHoTlCo (GGA-PBE, optimized geometry)
data_DyHoTlCo
_cell_length_a 7.204
_cell_length_b 7.204
_cell_length_c 7.204
_cell_angle_alpha 90.00
_cell_angle_beta 90.00
_cell_angle_gamma 90.00
_space_group_name_H-M_alt 'F -4 3 m'
_space_group_IT_number 216
_space_group_name_Hall 'F -4 2 3'
loop_
_atom_site_label
_atom_site_type_symbol
_atom_site_fract_x
_atom_site_fract_y
_atom_site_fract_z
_atom_site_occupancy
Dy1 Dy 0.000 0.000 0.000 1
Ho1 Ho 0.000 0.000 0.500 1
Tl1 Tl 0.250 0.250 0.250 1
Co1 Co 0.250 0.250 0.750 1
# - Formation enthalpy at 0 K: -0.506 eV/f.u.


(3)
# Ga2SnHgI8 (GGA-PBE, optimized geometry)
data_Ga2SnHgI8
_cell_length_a 12.483
_cell_length_b 8.542
_cell_length_c 11.845
_cell_angle_alpha 90.00
_cell_angle_beta 96.72
_cell_angle_gamma 90.00
_space_group_name_H-M_alt 'C 1 2/m 1'
_space_group_IT_number 12
_space_group_name_Hall '-C 2y'
loop_
_atom_site_label
_atom_site_type_symbol
_atom_site_fract_x
_atom_site_fract_y
_atom_site_fract_z
_atom_site_occupancy
Ga1 Ga 0.125 0.000 0.313 1
Sn1 Sn 0.000 0.500 0.500 1
Hg1 Hg 0.000 0.500 0.000 1
I1 I 0.007 0.243 0.701 1
I2 I 0.232 0.000 0.145 1
I3 I 0.242 0.000 0.511 1
# - Calculated total energy: -2.3207 eV per atom


(4)
# Hg3SbI2 (GGA-PBE, optimized geometry)
data_Hg3SbI2
_cell_length_a 4.281
_cell_length_b 6.184
_cell_length_c 14.694
_cell_angle_alpha 90.00
_cell_angle_beta 90.00
_cell_angle_gamma 90.00
_space_group_name_H-M_alt 'I m m m'
_space_group_IT_number 71
_space_group_name_Hall '-I 2 2'
loop_
_atom_site_label
_atom_site_type_symbol
_atom_site_fract_x
_atom_site_fract_y
_atom_site_fract_z
_atom_site_occupancy
Hg1 Hg 0.000 0.000 0.000 1
Hg2 Hg 0.000 0.000 0.360 1
Sb1 Sb 0.000 0.500 0.000 1
I1 I 0.000 0.500 0.308 1
# - Polymorph energy (0 for the lowest one): 5 meV/atom


(5)
# CoW2Cl (GGA-PBE, optimized geometry)
data_CoW2Cl
_cell_length_a 3.743
_cell_length_b 3.743
_cell_length_c 8.624
_cell_angle_alpha 90.00
_cell_angle_beta 90.00
_cell_angle_gamma 90.00
_space_group_name_H-M_alt 'I 4/m m m'
_space_group_IT_number 139
_space_group_name_Hall '-I 4 2'
loop_
_atom_site_label
_atom_site_type_symbol
_atom_site_fract_x
_atom_site_fract_y
_atom_site_fract_z
_atom_site_occupancy
Co1 Co 0.000 0.000 0.000 1
W1 W 0.000 0.500 0.250 1
Cl1 Cl 0.000 0.000 0.500 1
# - Polymorph energy (0 for the lowest one): 828 meV/atom


(6)
# Ba2NaSn6 (GGA-PBE, optimized geometry)
data_Ba2NaSn6
_cell_length_a 12.231
_cell_length_b 7.073
_cell_length_c 6.657
_cell_angle_alpha 90.00
_cell_angle_beta 90.02
_cell_angle_gamma 90.00
_space_group_name_H-M_alt 'C 1 2/m 1'
_space_group_IT_number 12
_space_group_name_Hall '-C 2y'
loop_
_atom_site_label
_atom_site_type_symbol
_atom_site_fract_x
_atom_site_fract_y
_atom_site_fract_z
_atom_site_occupancy
Ba1 Ba 0.167 0.000 0.342 1
Na1 Na 0.000 0.500 0.500 1
Sn1 Sn 0.092 0.223 0.845 1
Sn2 Sn 0.184 0.500 0.155 1
# - Formation enthalpy at 0 K: -3.873 eV/f.u.


Computed values of Fermi-level density of states (unit: states/eV per atom) for the preceding records, in sequence: 0.485 0.553 0.000 0.334 0.996 0.454.